## NdAg2AuO4 (PBE)

Data for crystalline NdAg2AuO4 at its relaxed geometry.

Lattice parameters (Å, degrees): 5.3917 5.3917 5.3917 105.55 111.47 111.47
Closest atoms and distances in Å follow each position.
Element x y z (fractional)
Nd  0.5000  0.2500  0.7500  4 O 2.36
O  0.0974  0.3088  0.7781  1 Au 2.06
Ag  0.5000  0.7500  0.2500  4 O 2.40
Au  0.0000  0.5000  0.5000  4 O 2.06
O  0.4692  0.7886  0.6912  1 Au 2.06
O  0.9026  0.6806  0.2114  1 Au 2.06
O  0.5308  0.2219  0.3194  1 Au 2.06
Ag  0.0000  0.0000  0.0000  4 O 2.32

Summary:
- volume (Å³/atom) = 15.03
- total DFT energy (no corrections) (eV/cell) = -41.494
- formation energy from raw total energies (meV per atom) = -989
- total magnetic moment (μB per formula unit) = 0.00